Material: ReNi3Ag
Method: DFT, PBE
State: relaxed

a = 4.505 Å, b = 4.505 Å, c = 4.505 Å
α = 90.00°, β = 90.00°, γ = 90.00°
Element x y z (fractional)
Re: 0.000 0.000 0.000
Ag: 0.500 0.500 0.500
Ni: 0.000 0.500 0.000
Ni: 0.000 0.000 0.500
Ni: 0.500 0.000 0.000

The excess energy over the best structure of this formula in the dataset comes out at 0.0000 eV per atom. Its space group is Pm-3m, No. 221.